Below is a relaxed structure of ZrTl2P, with properties calculated at the PBE-GGA level.

a = 3.5404 Å, b = 3.5300 Å, c = 8.0431 Å
α = 90.00°, β = 90.74°, γ = 90.00°
With the nearest neighbours (Å) after each atom.
Element x y z (fractional)
Zr 0.0000 0.0000 0.0000  4 P 2.63
Tl 0.2268 0.0000 0.6010  2 P 3.12, 1 Zr 3.32, 2 Tl 3.37
Tl 0.5625 0.5000 0.2775  1 P 3.05, 2 Zr 3.25, 2 Tl 3.37
P 0.4979 0.5000 0.8988  4 Zr 2.63

Results
* symmetry: Pm (6)
* formation energy from the elements: -0.334 eV per atom



Below is a relaxed structure of Pr2HoErSe6, with properties calculated at the PBE-GGA level.

a = 7.7610 Å, b = 7.7610 Å, c = 7.7610 Å
α = 56.65°, β = 56.65°, γ = 56.65°
With the nearest neighbours (Å) after each atom.
Element x y z (fractional)
Pr 0.0000 0.0000 0.0000  6 Se 2.96-3.05
Pr 0.5000 0.5000 0.5000  6 Se 2.96-3.05
Ho 0.2021 0.2021 0.2021  6 Se 2.83-2.88
Er 0.7020 0.7020 0.7020  6 Se 2.82-2.87
Se 0.0808 0.8205 0.4210  1 Er 2.82, 1 Ho 2.88, 2 Pr 2.96-3.05
Se 0.3214 0.5817 0.9201  1 Ho 2.83, 1 Er 2.87, 2 Pr 2.96-3.05
Se 0.4210 0.0808 0.8205  1 Er 2.82, 1 Ho 2.88, 2 Pr 2.96-3.05
Se 0.5817 0.9201 0.3214  1 Ho 2.83, 1 Er 2.87, 2 Pr 2.96-3.05
Se 0.8205 0.4210 0.0808  1 Er 2.82, 1 Ho 2.88, 2 Pr 2.96-3.05
Se 0.9201 0.3214 0.5817  1 Ho 2.83, 1 Er 2.87, 2 Pr 2.96-3.05

Results
* ΔE_f (raw): -1.841 eV per atom
* symmetry: R3 (146)



Below is a relaxed structure of SiNi2Ru, with properties calculated at the PBE-GGA level.

a = 2.9801 Å, b = 3.9238 Å, c = 4.0558 Å
α = 90.00°, β = 90.00°, γ = 90.00°
With the nearest neighbours (Å) after each atom.
Element x y z (fractional)
Si 0.0000 0.0000 0.0000  4 Ru 2.46, 4 Ni 2.52
Ni 0.0000 0.5000 0.5000  4 Ni 2.46, 4 Ru 2.52
Ni 0.5000 0.0000 0.5000  4 Ni 2.46, 4 Si 2.52
Ru 0.5000 0.5000 0.0000  4 Si 2.46, 4 Ni 2.52

Results
* ΔE_f (raw): -0.276 eV per atom
* symmetry: Pmmm (47)